1.
VASP calculation (GGA-PBE) on crystalline Pr3HgBr3 at its relaxed geometry. Values from VASP.

Geometry as Quantum ESPRESSO input:
```
&SYSTEM
  ibrav = 0, nat = 7, ntyp = 3
/
ATOMIC_SPECIES
Pr 140.91 Pr.upf
Hg 200.59 Hg.upf
Br 79.90 Br.upf
ATOMIC_POSITIONS crystal
Pr 0.000 0.000 0.500
Pr 0.000 0.500 0.000
Pr 0.500 0.000 0.000
Hg 0.000 0.000 0.000
Br 0.000 0.500 0.500
Br 0.500 0.000 0.500
Br 0.500 0.500 0.000
CELL_PARAMETERS angstrom
6.151 0.000 0.000
0.000 6.151 0.000
0.000 0.000 6.151
```

Summary:
Mass density in g/cm3: 6.16
Symmetry: Pm-3m, No. 221
M_tot in μB per atom: 0.000
E_form (uncorrected) in kJ per mole of atoms: -119.5
D(E_F) in states/eV/atom: 0.371


2.
VASP calculation (GGA-PBE) on crystalline La5Ho2ErTm at its relaxed geometry. Values from VASP.

Geometry as Quantum ESPRESSO input:
```
&SYSTEM
  ibrav = 0, nat = 18, ntyp = 4
/
ATOMIC_SPECIES
La 138.91 La.upf
Ho 164.93 Ho.upf
Er 167.26 Er.upf
Tm 168.93 Tm.upf
ATOMIC_POSITIONS crystal
La 0.000 0.000 0.000
La 0.000 0.000 0.500
La 0.124 0.876 0.750
La 0.220 0.780 0.441
La 0.221 0.779 0.061
La 0.498 0.502 0.750
La 0.502 0.498 0.250
La 0.779 0.221 0.561
La 0.780 0.220 0.941
La 0.876 0.124 0.250
Ho 0.386 0.614 0.497
Ho 0.387 0.613 0.003
Ho 0.613 0.387 0.503
Ho 0.614 0.386 0.997
Er 0.101 0.899 0.250
Er 0.899 0.101 0.750
Tm 0.292 0.708 0.751
Tm 0.708 0.292 0.251
CELL_PARAMETERS angstrom
2.750 -10.864 0.000
2.750 10.864 0.000
0.000 0.000 10.584
```

Summary:
Mass density in g/cm3: 7.15
Symmetry: Cmc2_1, No. 36
M_tot in μB per atom: 0.000
D(E_F) in states/eV/atom: 1.527


Number 1: raw total energy -4.046 eV/atom. Number 2: raw total energy -4.632 eV/atom.